#w
Here is a geometry-optimized ZrMn2V2 structure from Alexandria via LeMat-Bulk. Energies are from PBE.

POSCAR file:
```
ZrMn2V2
1.0
-3.3699 -1.4320 1.5971
-1.4413 -0.6912 -3.6610
-0.5316 -5.3846 -0.9536
Mn Zr V
2 1 2
Cartesian
-3.1536 -3.9390 -0.1942
-2.1892 -3.5687 -2.8232
0.0000 0.0000 0.0000
-1.9264 -2.1670 -1.0119
-3.4164 -5.3407 -2.0056
```

***

#x
Here is a geometry-optimized ZrMn2V2 structure from Alexandria via LeMat-Bulk. Energies are from PBE.

POSCAR file:
```
ZrMn2V2
1.0
3.9292 0.0000 0.0000
0.0000 3.9292 0.0000
1.9646 1.9646 4.8403
Mn Zr V
2 1 2
Cartesian
1.9646 1.9646 1.0991
3.9292 3.9292 3.7412
0.0000 0.0000 0.0000
3.9292 1.9646 2.4202
1.9646 3.9292 2.4202
```

***

#y
Here is a geometry-optimized ZrMn2V2 structure from Alexandria via LeMat-Bulk. Energies are from PBE.

POSCAR file:
```
ZrMn2V2
1.0
-3.5918 -0.2611 1.4569
-1.2726 -1.4078 -3.3897
4.3621 -8.3874 4.0719
Zr Mn V
2 4 4
Cartesian
-1.9395 -3.1886 -0.1737
1.4373 -6.8677 2.3127
-0.8309 -4.7415 2.2812
-0.7661 -8.7955 1.7144
0.2639 -1.2609 0.4246
0.3287 -5.3148 -0.1421
-0.6363 -0.7039 -1.6948
0.7199 -3.4399 1.1584
-1.7959 -0.1305 0.7284
-1.2221 -6.6164 0.9807
```

***

What is the stability order? It is #x, #y, #w, from most stable to least stable.

***

#w
Here is a geometry-optimized ZrMnV2 structure from Alexandria via LeMat-Bulk. Energies are from PBE.

POSCAR file:
```
ZrMnV2
1.0
3.8312 0.0000 0.0326
0.0000 4.9600 0.0000
-0.0293 -2.4800 3.4394
Zr Mn V
1 1 2
Cartesian
1.9156 2.4800 0.0163
1.9156 0.0000 0.0163
3.8129 2.4800 2.1724
-0.0110 0.0000 1.2996
```

***

#x
Here is a geometry-optimized ZrMnV2 structure from Alexandria via LeMat-Bulk. Energies are from PBE.

POSCAR file:
```
ZrMnV2
1.0
0.0000 3.0807 3.0807
3.0807 0.0000 3.0807
3.0807 3.0807 0.0000
Mn Zr V
1 1 2
Cartesian
0.0000 0.0000 0.0000
3.0807 3.0807 3.0807
1.5403 1.5403 1.5403
4.6210 4.6210 4.6210
```

***

What is the stability order? It is #x, #w, from most stable to least stable.

***

#w
Here is a geometry-optimized ZrMnV2 structure from Alexandria via LeMat-Bulk. Energies are from PBE.

POSCAR file:
```
ZrMnV2
1.0
-2.5963 2.5416 0.1046
-2.4652 -2.4772 -0.9988
-4.2152 -2.0745 8.9351
Mn Zr V
2 2 4
Cartesian
-2.5308 0.0322 -0.4471
-4.6056 -2.2597 3.7446
0.0000 0.0000 0.0000
-4.6711 0.2497 4.2963
-2.9555 0.7317 2.1731
-2.9482 -1.7207 1.6237
-5.0871 -1.5595 6.3547
-7.5626 -1.4717 5.9300
```

***

#x
Here is a geometry-optimized ZrMnV2 structure from Alexandria via LeMat-Bulk. Energies are from PBE.

POSCAR file:
```
ZrMnV2
1.0
2.9389 0.0000 0.0000
0.0000 2.9389 0.0000
0.0000 0.0000 6.9407
Mn Zr V
1 1 2
Cartesian
1.4695 1.4695 0.0000
1.4695 1.4695 3.4704
0.0000 0.0000 5.5719
0.0000 0.0000 1.3688
```

***

What is the stability order? It is #x, #w, from most stable to least stable.

***

#w
Here is a geometry-optimized ZrMnV structure from Alexandria via LeMat-Bulk. Energies are from PBE.

POSCAR file:
```
ZrMnV
1.0
-2.3480 -5.7649 -1.1932
3.3498 -0.9908 -1.8046
5.2084 3.2037 7.9093
Mn Zr V
4 4 4
Cartesian
1.9685 -1.4726 4.4627
0.8918 -1.0886 2.2533
1.0393 -3.5698 -0.3942
5.1709 0.0178 5.3056
-1.5798 -4.5005 -0.4616
4.4402 1.9393 7.1776
2.6993 -3.3941 2.5908
3.5110 -0.1580 2.3207
2.8830 0.5227 5.0647
-0.0226 -3.0839 1.6514
1.9537 -1.5746 0.2077
4.2565 -1.9775 4.7037
```

***

#x
Here is a geometry-optimized ZrMnV structure from Alexandria via LeMat-Bulk. Energies are from PBE.

POSCAR file:
```
ZrMnV
1.0
7.4753 0.0000 0.0271
0.0000 3.1048 0.0000
-6.7817 0.0000 8.2347
Mn Zr V
4 4 4
Cartesian
-3.5395 0.0000 7.3125
-0.1487 1.5524 3.1951
1.2684 0.0000 6.8651
4.6592 1.5524 2.7477
-1.8934 0.0000 4.7354
1.4974 1.5524 0.6181
2.2582 0.0000 3.5059
-1.1326 1.5524 7.6232
-0.8153 0.0000 1.6667
-4.2061 1.5524 5.7841
4.0144 0.0000 1.2181
0.6236 1.5524 5.3355
```

***

What is the stability order? It is #w, #x, from most stable to least stable.

***

#w
Here is a geometry-optimized ZrMnV structure from Alexandria via LeMat-Bulk. Energies are from PBE.

POSCAR file:
```
ZrMnV
1.0
5.1796 0.0000 -0.0012
0.0000 3.6909 0.0000
-0.0890 0.0000 10.1097
Mn Zr V
4 4 4
Cartesian
3.8706 0.0000 6.8703
3.9151 1.8455 1.8155
0.0137 0.0000 2.4760
-0.0308 1.8455 7.5308
2.6074 0.0000 3.9587
2.5629 1.8455 9.0135
-0.0419 0.0000 9.7349
0.0026 1.8455 4.6801
1.2107 0.0000 6.8909
1.2552 1.8455 1.8361
2.6756 0.0000 1.1294
2.6311 1.8455 6.1843
```

***

#x
Here is a geometry-optimized ZrMnV structure from Alexandria via LeMat-Bulk. Energies are from PBE.

POSCAR file:
```
ZrMnV
1.0
-0.4227 -2.2032 -2.0098
4.8749 0.8923 -0.5159
-1.0034 -4.2754 5.0906
Mn Zr V
2 2 2
Cartesian
-0.7998 -3.4532 4.0193
4.2486 -2.1331 -1.4545
2.8407 -1.7909 1.1099
0.6082 -3.7953 1.4549
2.2965 -4.1362 3.7650
1.1523 -1.4501 -1.2002
```

***

What is the stability order? It is #w, #x, from most stable to least stable.

***

#w
Here is a geometry-optimized ZrMn3V structure from Alexandria via LeMat-Bulk. Energies are from PBE.

POSCAR file:
```
ZrMn3V
1.0
4.7280 0.0000 0.0000
0.0000 4.7280 0.0000
0.0000 0.0000 4.7280
Mn Zr V
3 1 1
Cartesian
0.0000 2.3640 0.0000
0.0000 0.0000 2.3640
2.3640 0.0000 0.0000
0.0000 0.0000 0.0000
2.3640 2.3640 2.3640
```

***

#x
Here is a geometry-optimized ZrMn3V structure from Alexandria via LeMat-Bulk. Energies are from PBE.

POSCAR file:
```
ZrMn3V
1.0
-0.1619 -3.8904 -1.8172
2.3440 -1.6038 3.2246
-3.5977 -0.8698 2.1826
Mn Zr V
3 1 1
Cartesian
1.1720 -0.8019 1.6123
-1.7989 -0.4349 1.0913
-0.0810 -1.9452 -0.9086
-0.7078 -3.1820 1.7950
0.0000 0.0000 0.0000
```

***

What is the stability order? It is #x, #w, from most stable to least stable.